1.
# Sc2Cd2Bi | Alexandria | GGA-PBE | relaxed
# ΔE to the lowest computed polymorph ... 14 meV per atom
# Energy of formation ... -172 meV/atom
data_Sc2Cd2Bi
_symmetry_space_group_name_H-M 'P 4/m b m'
_symmetry_Int_Tables_number 127
_symmetry_space_group_name_Hall '-P 4 2ab'
_cell_length_a 7.613
_cell_length_b 7.613
_cell_length_c 4.436
_cell_angle_alpha 90.00
_cell_angle_beta 90.00
_cell_angle_gamma 90.00
loop_
_atom_site_label
_atom_site_type_symbol
_atom_site_fract_x
_atom_site_fract_y
_atom_site_fract_z
Sc1 Sc 0.154 0.346 0.000
Cd1 Cd 0.144 0.644 0.500
Bi1 Bi 0.000 0.000 0.000

2.
# LiHfBi2S5 | Alexandria | GGA-PBE | relaxed
# Total DFT energy (no corrections) ... -5.285 eV per atom
data_LiHfBi2S5
_symmetry_space_group_name_H-M 'C m c 21'
_symmetry_Int_Tables_number 36
_cell_length_a 3.699
_cell_length_b 16.507
_cell_length_c 13.675
_cell_angle_alpha 90.00
_cell_angle_beta 90.00
_cell_angle_gamma 90.00
loop_
_symmetry_equiv_pos_as_xyz
'x,y,z'
'-x,-y,z+1/2'
'-x,y,z'
'x,-y,z+1/2'
'x+1/2,y+1/2,z'
'-x+1/2,-y+1/2,z+1/2'
'-x+1/2,y+1/2,z'
'x+1/2,-y+1/2,z+1/2'
loop_
_atom_site_label
_atom_site_type_symbol
_atom_site_fract_x
_atom_site_fract_y
_atom_site_fract_z
Li1 Li 0.000 0.055 0.000
Hf1 Hf 0.000 0.285 0.612
Bi1 Bi 0.000 0.358 0.903
Bi2 Bi 0.000 0.433 0.220
S1 S 0.000 0.010 0.342
S2 S 0.000 0.128 0.565
S3 S 0.000 0.205 0.982
S4 S 0.000 0.241 0.237
S5 S 0.000 0.435 0.611

3.
# Ba3NdTh2As6 | Alexandria | GGA-PBE | relaxed
# Energy of formation ... -1261 meV/atom
data_Ba3NdTh2As6
_symmetry_space_group_name_H-M 'C 1 2/m 1'
_symmetry_Int_Tables_number 12
_cell_length_a 7.695
_cell_length_b 13.333
_cell_length_c 7.977
_cell_angle_alpha 90.00
_cell_angle_beta 108.77
_cell_angle_gamma 90.00
loop_
_symmetry_equiv_pos_as_xyz
'x,y,z'
'-x,-y,-z'
'-x,y,-z'
'x,-y,z'
'x+1/2,y+1/2,z'
'-x+1/2,-y+1/2,-z'
'-x+1/2,y+1/2,-z'
'x+1/2,-y+1/2,z'
loop_
_atom_site_label
_atom_site_type_symbol
_atom_site_fract_x
_atom_site_fract_y
_atom_site_fract_z
Ba1 Ba 0.000 0.000 0.000
Ba2 Ba 0.000 0.335 0.000
Nd1 Nd 0.000 0.500 0.500
Th1 Th 0.000 0.167 0.500
As1 As 0.233 0.000 0.713
As2 As 0.240 0.331 0.714

4.
# La6Sm2Tc | Alexandria | GGA-PBE | relaxed
# Energy of formation ... 56 meV/atom
data_La6Sm2Tc
_symmetry_space_group_name_H-M 'P -1'
_symmetry_Int_Tables_number 2
_cell_length_a 6.803
_cell_length_b 9.653
_cell_length_c 9.685
_cell_angle_alpha 74.87
_cell_angle_beta 85.97
_cell_angle_gamma 85.81
loop_
_symmetry_equiv_pos_as_xyz
'x,y,z'
'-x,-y,-z'
loop_
_atom_site_label
_atom_site_type_symbol
_atom_site_fract_x
_atom_site_fract_y
_atom_site_fract_z
La1 La 0.050 0.166 0.392
La2 La 0.054 0.925 0.184
La3 La 0.087 0.450 0.694
La4 La 0.377 0.684 0.419
La5 La 0.406 0.420 0.199
La6 La 0.420 0.952 0.681
Sm1 Sm 0.108 0.686 0.948
Sm2 Sm 0.399 0.187 0.947
Tc1 Tc 0.259 0.285 0.543